Below is a relaxed MnIr2F crystal, with properties calculated at the PBE+U level.

Geometry as extended XYZ:
```
8
Lattice="7.584 0.000 0.000 0.000 7.584 0.000 3.792 3.792 2.249" Properties=species:S:1:pos:R:3 pbc="T T T"
F 3.792 7.584 1.125
Mn 0.000 0.000 0.000
Ir 5.688 6.086 1.687
Ir 5.290 1.896 0.562
Ir 2.294 5.688 0.562
Ir 9.480 9.081 1.687
Mn 7.584 3.792 1.125
F 3.792 3.792 0.000
```

- Energy above the most stable polymorph in this dataset: 0 meV per atom
- Density: 11.8 g/cm³